Entry 1:
Material: Mg2TlAs
Method: DFT, PBE
State: relaxed

Computed properties:
The calculation puts the formation energy at -0.20 eV per atom. The crystal system is orthorhombic. As for the distance to the lowest polymorph of the same formula: 82.9 meV/atom. The calculation puts the total magnetization at 0.0 Bohr magnetons per cell.

Unit cell a=6.796 b=6.796 c=4.060 alpha=72.58 beta=72.58 gamma=32.16
Sites, in units of the cell vectors:
Mg 0.064 0.064 0.937
Mg 0.258 0.258 0.241
Tl 0.453 0.453 0.547
As 0.725 0.725 0.775

---

Entry 2:
Material: Mg4TlAs
Method: DFT, PBE
State: relaxed

Computed properties:
The calculation puts the formation energy at 0.10 eV per atom. The crystal system is cubic. The calculation puts the total magnetization at 0.0 Bohr magnetons per cell.

Unit cell a=5.820 b=5.820 c=5.820 alpha=60.00 beta=60.00 gamma=60.00
Sites, in units of the cell vectors:
Mg 0.375 0.876 0.375
Mg 0.876 0.375 0.375
Mg 0.375 0.375 0.876
Mg 0.375 0.375 0.375
Tl 0.750 0.750 0.750
As 0.000 0.000 0.000

---

Entry 3:
Material: Mg2TlZnAs
Method: DFT, PBE
State: relaxed

Computed properties:
The calculation puts the formation energy at 0.56 eV per atom. The crystal system is tetragonal. The calculation puts the total magnetization at 0.0 Bohr magnetons per cell.

Unit cell a=5.327 b=4.924 c=5.327 alpha=90.00 beta=90.00 gamma=90.00
Sites, in units of the cell vectors:
Mg 0.000 0.000 0.500
Mg 0.500 0.000 0.000
Zn 0.000 0.500 0.000
Tl 0.000 0.000 0.000
As 0.500 0.500 0.500

---

Entry 4:
Material: MgTlZnAs2
Method: DFT, PBE
State: relaxed

Computed properties:
The calculation puts the formation energy at -0.17 eV per atom. The crystal system is monoclinic. The calculation puts the total magnetization at 0.0 Bohr magnetons per cell.

Unit cell a=4.211 b=7.319 c=8.736 alpha=81.53 beta=76.06 gamma=73.28
Sites, in units of the cell vectors:
Mg 0.364 0.369 0.903
Mg 0.636 0.631 0.097
Tl 0.821 0.739 0.618
Tl 0.179 0.261 0.382
Zn 0.052 0.090 0.806
Zn 0.948 0.910 0.194
As 0.411 0.827 0.351
As 0.589 0.173 0.649
As 0.834 0.252 0.080
As 0.166 0.748 0.920

---

Entry 5:
Material: Tm3MgAs4
Method: DFT, PBE
State: relaxed

Computed properties:
The calculation puts the formation energy at -1.16 eV per atom. The crystal system is cubic. The calculation puts the total magnetization at 0.0 Bohr magnetons per cell.

Unit cell a=5.726 b=5.726 c=5.726 alpha=90.00 beta=90.00 gamma=90.00
Sites, in units of the cell vectors:
Mg 0.000 0.000 0.000
Tm 0.000 0.500 0.500
Tm 0.500 0.000 0.500
Tm 0.500 0.500 0.000
As 0.500 0.000 0.000
As 0.000 0.500 0.000
As 0.000 0.000 0.500
As 0.500 0.500 0.500

---

Entry 6:
Material: TmMgAs
Method: DFT, PBE
State: relaxed

Computed properties:
The calculation puts the formation energy at -0.55 eV per atom. The crystal system is trigonal. The calculation puts the total magnetization at 0.0 Bohr magnetons per cell.

Unit cell a=4.873 b=4.873 c=8.227 alpha=72.77 beta=72.77 gamma=60.00
Sites, in units of the cell vectors:
Tm 0.599 0.599 0.202
Tm 0.401 0.401 0.798
As 0.279 0.279 0.162
As 0.721 0.721 0.838
Mg 0.836 0.836 0.493
Mg 0.164 0.164 0.507

---

Entry 7:
Material: MgUAs2
Method: DFT, PBE
State: relaxed

Computed properties:
The calculation puts the formation energy at -0.61 eV per atom. The crystal system is trigonal. As for the distance to the lowest polymorph of the same formula: 0.0 meV/atom. The calculation puts the total magnetization at 2.0 Bohr magnetons per cell.

Unit cell a=4.089 b=4.089 c=6.777 alpha=72.44 beta=72.44 gamma=60.00
Last column: magnetic moment on the atom in μB.
Sites, in units of the cell vectors:
As 0.251 0.251 0.246  -0.07
As 0.749 0.749 0.754  -0.07
U 0.500 0.500 0.500  2.03
Mg 0.000 0.000 0.000  -0.01

---

Entry 8:
Material: MgUAs2
Method: DFT, PBE
State: relaxed

Computed properties:
The calculation puts the formation energy at -0.57 eV per atom. The crystal system is trigonal. As for the distance to the lowest polymorph of the same formula: 37.3 meV/atom. The calculation puts the total magnetization at 2.0 Bohr magnetons per cell.

Unit cell a=4.044 b=4.044 c=6.979 alpha=73.16 beta=73.16 gamma=60.00
Last column: magnetic moment on the atom in μB.
Sites, in units of the cell vectors:
Mg 0.496 0.496 0.513  0.00
U 0.668 0.668 0.995  1.99
As 0.085 0.085 0.746  -0.07
As 0.251 0.251 0.246  -0.08